# Li2Fe3SnO8 | Alexandria via LeMat-Bulk | GGA+U | optimized geometry
data_Li2Fe3SnO8
_cell_length_a 5.9205
_cell_length_b 5.9205
_cell_length_c 9.7722
_cell_angle_alpha 90.00
_cell_angle_beta 90.00
_cell_angle_gamma 120.00
_symmetry_space_group_name_H-M 'P 63 m c'
_symmetry_Int_Tables_number 186
_symmetry_space_group_name_Hall 'P 6c -2c'
loop_
_atom_site_label
_atom_site_fract_x
_atom_site_fract_y
_atom_site_fract_z
Li1 0.0000 0.0000 0.0000
Li2 0.3333 0.6667 0.4054
Fe1 0.1684 0.3369 0.7205
Sn1 0.3333 0.6667 0.9947
O1 0.0000 0.0000 0.3122
O2 0.0294 0.5147 0.8459
O3 0.1608 0.3215 0.1061
O4 0.3333 0.6667 0.6225
# - Electronic total energy: -168.13 eV for the cell shown
# - Energy relative to the lowest polymorph listed for this composition: 1.86 eV per formula unit